[1]
A PBEsol-optimized structure of RbAgIr3. Source: Alexandria via LeMat-Bulk, functional SCAN.

Output
ΔE to the lowest computed polymorph ... 0.000 eV/atom
ΔH_f (0 K) ... 2.251 eV/atom

The structure in CIF format:
```
data_RbAgIr3
_chemical_formula_sum 'Rb1 Ag1 Ir3'
_space_group_name_H-M_alt 'P m -3 m'
_space_group_IT_number 221
_space_group_name_Hall '-P 4 2 3'
_cell_length_a 4.886
_cell_length_b 4.886
_cell_length_c 4.886
_cell_angle_alpha 90.00
_cell_angle_beta 90.00
_cell_angle_gamma 90.00
loop_
_atom_site_label
_atom_site_fract_x
_atom_site_fract_y
_atom_site_fract_z
Rb1 0.000 0.000 0.000
Ag1 0.500 0.500 0.500
Ir1 0.000 0.500 0.500
```

[2]
A PBEsol-optimized structure of Sr2ReAgIr. Source: Alexandria via LeMat-Bulk, functional SCAN.

Output
ΔH_f (0 K) ... 0.773 eV/atom

The structure in CIF format:
```
data_Sr2ReAgIr
_chemical_formula_sum 'Sr2 Re1 Ag1 Ir1'
_space_group_name_H-M_alt 'P 4/m m m'
_space_group_IT_number 123
_space_group_name_Hall '-P 4 2'
_cell_length_a 5.739
_cell_length_b 5.739
_cell_length_c 4.624
_cell_angle_alpha 90.00
_cell_angle_beta 90.00
_cell_angle_gamma 90.00
loop_
_atom_site_label
_atom_site_fract_x
_atom_site_fract_y
_atom_site_fract_z
Sr1 0.000 0.500 0.000
Re1 0.000 0.000 0.000
Ag1 0.500 0.500 0.500
Ir1 0.000 0.000 0.500
```